## AcCo2GeO8 (PBE+U)

Data for AcCo2GeO8 after structural relaxation.

Cell lengths 5.1579, 5.1579, 6.9790 Å; angles 90.00, 90.00, 120.00 degrees
Site moments in Bohr magnetons follow the coordinates.
Element x y z (fractional)
Ac  0.0000  0.0000  0.0000  0.02
Co  0.6667  0.3333  0.2715  2.95
Co  0.3333  0.6667  0.7285  2.95
Ge  0.0000  0.0000  0.5000  0.06
O  0.3333  0.6667  0.9780  0.47
O  0.3014  0.2654  0.3279  0.25
O  0.7346  0.0361  0.3279  0.25
O  0.6667  0.3333  0.0220  0.47
O  0.2654  0.9639  0.6721  0.25
O  0.6986  0.7346  0.6721  0.25
O  0.0361  0.3014  0.6721  0.25
O  0.9639  0.6986  0.3279  0.25

Output
VASP energy = -74.3 eV/cell